Entry from the Alexandria database: AcTmSn after structural relaxation (PBE-GGA).

extended XYZ file:
```
6
Lattice="4.7949 0.0000 0.0000 0.0000 4.7949 0.0000 0.0000 0.0000 8.7935" Properties=species:S:1:pos:R:3 pbc="T T T"
Ac 1.1987 1.1987 1.3037
Ac 3.5962 3.5962 7.4898
Tm 1.1987 3.5962 4.3967
Tm 3.5962 1.1987 4.3967
Sn 1.1987 1.1987 6.5174
Sn 3.5962 3.5962 2.2761
```

## Properties
* energy above the lowest structure with this stoichiometry: 35 meV/atom
* calculated formation energy: -0.56 eV/atom
* total magnetic moment: 1.05 μB per formula unit